Below is a relaxed structure of TeHRuCl2, with properties calculated at the PBE level.

Geometry as POSCAR:
```
TeHRuCl2
1.0
5.011 0.000 0.000
0.000 3.505 0.000
0.000 0.000 5.011
Te Ru Cl H
1 1 2 1
Cartesian
2.506 1.753 2.506
0.000 0.000 0.000
2.506 0.000 0.000
0.000 0.000 2.506
0.000 1.753 0.000
```

Properties
VASP energy = -3.4340 eV/atom
Theoretical density = 5.67 g cm⁻³
Volume = 88.0 Å³/cell
SG = P4/mmm (123)